The following is a DFT calculation (PBE) of a relaxed BiPtW3 crystal.

Unit cell a=4.8606 b=4.8606 c=4.8606 alpha=90.00 beta=90.00 gamma=90.00
With the nearest neighbours (Å) after each atom.
Fractional positions:
Pt  0.0000  0.0000  0.0000  6 W 2.43
Bi  0.5000  0.5000  0.5000  12 W 3.44
W  0.0000  0.5000  0.0000  2 Pt 2.43
W  0.5000  0.0000  0.0000  2 Pt 2.43
W  0.0000  0.0000  0.5000  2 Pt 2.43

Calculated values
The value obtained for the energy above the most stable polymorph in this dataset is 0 meV/atom. The value obtained for the volume is 114.83 Å³/f.u. The calculation puts the formation energy at 1.94 eV per atom. The total energy comes out at -39.1 eV/cell. Its space group is No. 221.